[1]
# PBE-GGA VCuS2Cl, optimized geometry
data_VCuS2Cl
_space_group_name_H-M_alt 'P 4/m m m'
_space_group_IT_number 123
_space_group_name_Hall '-P 4 2'
_cell_length_a 4.622
_cell_length_b 4.622
_cell_length_c 4.447
_cell_angle_alpha 90.00
_cell_angle_beta 90.00
_cell_angle_gamma 90.00
loop_
_atom_site_label
_atom_site_type_symbol
_atom_site_fract_x
_atom_site_fract_y
_atom_site_fract_z
V1 V 0.000 0.000 0.000
Cu1 Cu 0.500 0.500 0.500
S1 S 0.000 0.500 0.500
Cl1 Cl 0.500 0.500 0.000
# E_form (uncorrected) in kcal/mol of atoms: 8.7
# Volume in Å³/atom: 19.001


[2]
# PBE-GGA MgHgPbF6, optimized geometry
data_MgHgPbF6
_space_group_name_H-M_alt 'P -3 1 c'
_space_group_IT_number 163
_space_group_name_Hall '-P 3 2c'
_cell_length_a 5.7729
_cell_length_b 5.7729
_cell_length_c 10.1985
_cell_angle_alpha 90.00
_cell_angle_beta 90.00
_cell_angle_gamma 120.00
loop_
_atom_site_label
_atom_site_type_symbol
_atom_site_fract_x
_atom_site_fract_y
_atom_site_fract_z
Mg1 Mg 0.3333 0.6667 0.2500
Hg1 Hg 0.3333 0.6667 0.7500
Pb1 Pb 0.0000 0.0000 0.0000
F1 F 0.0416 0.3750 0.1395
# E_form (uncorrected) in kcal/mol of atoms: -56.2
# Volume in Å³/atom: 16.352


[3]
# PBE-GGA Ac2YBi, optimized geometry
data_Ac2YBi
_space_group_name_H-M_alt 'P 4/m m m'
_space_group_IT_number 123
_space_group_name_Hall '-P 4 2'
_cell_length_a 4.441
_cell_length_b 4.441
_cell_length_c 7.659
_cell_angle_alpha 90.00
_cell_angle_beta 90.00
_cell_angle_gamma 90.00
loop_
_atom_site_label
_atom_site_type_symbol
_atom_site_fract_x
_atom_site_fract_y
_atom_site_fract_z
Ac1 Ac 0.000 0.000 0.233
Y1 Y 0.500 0.500 0.500
Bi1 Bi 0.500 0.500 0.000
# Volume in Å³/atom: 37.755


[4]
# PBE-GGA MgMnBr6, optimized geometry
data_MgMnBr6
_space_group_name_H-M_alt 'C 1 2/m 1'
_space_group_IT_number 12
_space_group_name_Hall '-C 2y'
_cell_length_a 7.092
_cell_length_b 12.393
_cell_length_c 6.433
_cell_angle_alpha 90.00
_cell_angle_beta 90.63
_cell_angle_gamma 90.00
loop_
_atom_site_label
_atom_site_type_symbol
_atom_site_fract_x
_atom_site_fract_y
_atom_site_fract_z
Mg1 Mg 0.000 0.000 0.000
Mn1 Mn 0.000 0.000 0.500
Br1 Br 0.141 0.140 0.276
Br2 Br 0.218 0.500 0.271
# E_form (uncorrected) in kcal/mol of atoms: -19.9
# Volume in Å³/atom: 35.336


[5]
# PBE-GGA Ac2HfInAu6, optimized geometry
data_Ac2HfInAu6
_space_group_name_H-M_alt 'F m -3 m'
_space_group_IT_number 225
_space_group_name_Hall '-F 4 2 3'
_cell_length_a 10.461
_cell_length_b 10.461
_cell_length_c 10.461
_cell_angle_alpha 90.00
_cell_angle_beta 90.00
_cell_angle_gamma 90.00
loop_
_atom_site_label
_atom_site_type_symbol
_atom_site_fract_x
_atom_site_fract_y
_atom_site_fract_z
Ac1 Ac 0.250 0.250 0.250
Hf1 Hf 0.000 0.000 0.000
In1 In 0.000 0.000 0.500
Au1 Au 0.000 0.000 0.249
# Volume in Å³/atom: 28.621


[6]
# PBE-GGA VW4, optimized geometry
data_VW4
_space_group_name_H-M_alt 'P m -3 m'
_space_group_IT_number 221
_space_group_name_Hall '-P 4 2 3'
_cell_length_a 4.474
_cell_length_b 4.474
_cell_length_c 4.474
_cell_angle_alpha 90.00
_cell_angle_beta 90.00
_cell_angle_gamma 90.00
loop_
_atom_site_label
_atom_site_type_symbol
_atom_site_fract_x
_atom_site_fract_y
_atom_site_fract_z
V1 V 0.000 0.000 0.000
W1 W 0.000 0.000 0.500
W2 W 0.500 0.500 0.500
# Volume in Å³/atom: 17.906


[7]
# PBE-GGA SiSnOs3, optimized geometry
data_SiSnOs3
_space_group_name_H-M_alt 'P m -3 m'
_space_group_IT_number 221
_space_group_name_Hall '-P 4 2 3'
_cell_length_a 4.421
_cell_length_b 4.421
_cell_length_c 4.421
_cell_angle_alpha 90.00
_cell_angle_beta 90.00
_cell_angle_gamma 90.00
loop_
_atom_site_label
_atom_site_type_symbol
_atom_site_fract_x
_atom_site_fract_y
_atom_site_fract_z
Si1 Si 0.000 0.000 0.000
Sn1 Sn 0.500 0.500 0.500
Os1 Os 0.000 0.000 0.500
# E_form (uncorrected) in kcal/mol of atoms: 23.5
# Volume in Å³/atom: 17.286


[8]
# PBE-GGA NdSm2Ni9, optimized geometry
data_NdSm2Ni9
_space_group_name_H-M_alt 'R -3 m'
_space_group_IT_number 166
_space_group_name_Hall '-R 3 2"'
_cell_length_a 5.0254
_cell_length_b 5.0254
_cell_length_c 24.6214
_cell_angle_alpha 90.00
_cell_angle_beta 90.00
_cell_angle_gamma 120.00
loop_
_atom_site_label
_atom_site_type_symbol
_atom_site_fract_x
_atom_site_fract_y
_atom_site_fract_z
Nd1 Nd 0.0000 0.0000 0.0000
Sm1 Sm 0.0000 0.0000 0.1390
Ni1 Ni 0.0000 0.0000 0.3328
Ni2 Ni 0.0000 0.0000 0.5000
Ni3 Ni 0.0002 0.5001 0.0816
# Volume in Å³/atom: 14.958


Number 1: E -4.29 eV per atom. Number 2: E -4.31 eV per atom. Number 3: E -4.98 eV per atom. Number 4: E -3.46 eV per atom. Number 5: E -4.32 eV per atom. Number 6: E -10.47 eV per atom. Number 7: E -7.61 eV per atom. Number 8: E -5.86 eV per atom.